LaCdS2O8 after structural relaxation, computed with PBE.

**D(E_F)**: 3.10 states/eV per cell
**ΔE_f (raw)**: -1.744 eV per atom
**Space group**: No. 164
**Electronic total energy**: -0.4575 Ry per atom

abc: 5.266 5.266 8.231
angles: 90.00 90.00 120.00
Site moments in Bohr magnetons follow the coordinates.
Positions (direct):
La  0.000  0.000  0.500  0.00
Cd  0.000  0.000  0.000  0.26
S  0.333  0.667  0.680  0.01
S  0.667  0.333  0.320  0.01
O  0.178  0.357  0.737  0.01
O  0.178  0.822  0.737  0.01
O  0.643  0.822  0.737  0.01
O  0.357  0.178  0.263  0.01
O  0.667  0.333  0.502  0.01
O  0.333  0.667  0.498  0.01
O  0.822  0.643  0.263  0.01
O  0.822  0.178  0.263  0.01

AlV2C after structural relaxation, computed with PBE.

**D(E_F)**: 1.80 states/eV per cell
**Space group**: No. 160
**Electronic total energy**: -0.6107 Ry per atom

abc: 2.908 2.908 6.800
angles: 77.65 77.65 60.00
Positions (direct):
Al  0.500  0.500  0.501
V  0.057  0.057  0.830
V  0.277  0.277  0.170
C  0.667  0.667  0.999

Sc2GaPb2 after structural relaxation, computed with PBE.

**D(E_F)**: 10.77 states/eV per cell
**Space group**: No. 127
**Electronic total energy**: -0.3607 Ry per atom
**Energy above the lowest structure with this stoichiometry**: 0 meV/atom

abc: 7.372 7.372 4.532
angles: 90.00 90.00 90.00
Positions (direct):
Pb  0.153  0.653  0.500
Pb  0.653  0.847  0.500
Pb  0.847  0.347  0.500
Pb  0.347  0.153  0.500
Sc  0.339  0.839  0.000
Sc  0.839  0.661  0.000
Sc  0.661  0.161  0.000
Sc  0.161  0.339  0.000
Ga  0.000  0.000  0.000
Ga  0.500  0.500  0.000

BaZrRh2 after structural relaxation, computed with PBE.

**D(E_F)**: 1.98 states/eV per cell
**Space group**: No. 166
**Electronic total energy**: -0.4878 Ry per atom

abc: 4.381 4.381 6.617
angles: 70.66 70.66 59.98
Positions (direct):
Ba  0.750  0.750  0.750
Rh  0.961  0.961  0.118
Rh  0.539  0.539  0.382
Zr  0.250  0.250  0.250

SmDyTh4 after structural relaxation, computed with PBE.

**D(E_F)**: 11.76 states/eV per cell
**Space group**: No. 216
**Electronic total energy**: -0.4578 Ry per atom
**Energy above the lowest structure with this stoichiometry**: 229 meV/atom

abc: 6.637 6.637 6.637
angles: 60.00 60.00 60.00
Positions (direct):
Sm  0.250  0.250  0.250
Th  0.625  0.625  0.125
Th  0.625  0.125  0.625
Th  0.625  0.625  0.625
Th  0.125  0.625  0.625
Dy  0.000  0.000  0.000

CeEu2Hf after structural relaxation, computed with PBE.

**D(E_F)**: 8.20 states/eV per cell
**Space group**: No. 166
**Electronic total energy**: -0.6327 Ry per atom

abc: 3.326 3.326 12.640
angles: 82.44 82.44 60.00
Site moments in Bohr magnetons follow the coordinates.
Positions (direct):
Eu  0.083  0.083  0.750  7.09
Eu  0.917  0.917  0.250  7.09
Hf  0.000  0.000  0.000  0.15
Ce  0.500  0.500  0.500  -0.56

PaSi2Ni after structural relaxation, computed with PBE.

**D(E_F)**: 4.00 states/eV per cell
**ΔE_f (raw)**: -0.084 eV per atom
**Space group**: No. 166
**Electronic total energy**: -0.4861 Ry per atom

abc: 3.011 3.011 8.569
angles: 79.88 79.88 60.00
Positions (direct):
Ni  0.000  0.000  0.000
Si  0.733  0.733  0.800
Si  0.267  0.267  0.200
Pa  0.500  0.500  0.500

Ac3NbO7 after structural relaxation, computed with PBE.

**D(E_F)**: 0.00 states/eV per cell
**ΔE_f (raw)**: -3.218 eV per atom
**Space group**: No. 63
**Electronic total energy**: -0.6181 Ry per atom

abc: 6.991 6.991 8.033
angles: 90.00 90.00 111.99
Positions (direct):
Ac  0.077  0.527  0.750
Ac  0.000  0.000  0.000
Ac  0.000  0.000  0.500
Ac  0.473  0.923  0.250
Ac  0.527  0.077  0.750
Ac  0.923  0.473  0.250
Nb  0.500  0.500  0.000
Nb  0.500  0.500  0.500
O  0.104  0.844  0.250
O  0.156  0.896  0.750
O  0.195  0.440  0.468
O  0.195  0.440  0.032
O  0.560  0.805  0.968
O  0.560  0.805  0.532
O  0.440  0.440  0.750
O  0.560  0.560  0.250
O  0.440  0.195  0.032
O  0.440  0.195  0.468
O  0.805  0.560  0.968
O  0.805  0.560  0.532
O  0.844  0.104  0.250
O  0.896  0.156  0.750

Pr2ZnH after structural relaxation, computed with PBE.

**D(E_F)**: 2.75 states/eV per cell
**Space group**: No. 160
**Electronic total energy**: -0.2746 Ry per atom
**Energy above the lowest structure with this stoichiometry**: 111 meV/atom

abc: 3.794 3.794 7.731
angles: 75.79 75.79 60.00
Positions (direct):
Pr  0.065  0.065  0.804
Pr  0.269  0.269  0.193
Zn  0.499  0.499  0.502
H  0.666  0.666  0.001

Tl3ZnTe after structural relaxation, computed with PBE.

**D(E_F)**: 1.76 states/eV per cell
**ΔE_f (raw)**: 0.033 eV per atom
**Space group**: No. 221
**Electronic total energy**: -0.1668 Ry per atom
**Energy above the lowest structure with this stoichiometry**: 0 meV/atom

abc: 5.399 5.399 5.399
angles: 90.00 90.00 90.00
Positions (direct):
Tl  0.000  0.500  0.000
Tl  0.000  0.000  0.500
Tl  0.500  0.000  0.000
Te  0.500  0.500  0.500
Zn  0.000  0.000  0.000

K2NiAs after structural relaxation, computed with PBE.

**D(E_F)**: 2.18 states/eV per cell
**Space group**: No. 10
**Electronic total energy**: -0.2375 Ry per atom

abc: 5.119 6.440 7.558
angles: 35.60 90.00 90.00
Positions (direct):
As  0.500  0.750  0.750
K  0.000  0.213  0.030
K  0.000  0.287  0.470
Ni  0.500  0.250  0.250

FeCo after structural relaxation, computed with PBE.

**D(E_F)**: 5.57 states/eV per cell
**Space group**: No. 164
**Electronic total energy**: -0.5727 Ry per atom

abc: 4.021 4.021 4.889
angles: 90.00 90.00 120.00
Site moments in Bohr magnetons follow the coordinates.
Positions (direct):
Co  0.000  0.000  0.000  1.76
Co  0.667  0.333  0.833  1.80
Co  0.333  0.667  0.666  1.76
Fe  0.000  0.000  0.502  2.65
Fe  0.667  0.333  0.333  2.52
Fe  0.333  0.667  0.164  2.65

Sc3Fe9ReC2 after structural relaxation, computed with PBE.

**D(E_F)**: 16.23 states/eV per cell
**Space group**: No. 164
**Electronic total energy**: -0.6171 Ry per atom

abc: 5.300 5.300 8.100
angles: 90.00 90.00 120.00
Site moments in Bohr magnetons follow the coordinates.
Positions (direct):
Sc  0.333  0.667  0.598  -0.18
Sc  0.000  0.000  0.000  -0.28
Sc  0.667  0.333  0.402  -0.18
Fe  0.831  0.169  0.723  1.19
Fe  0.831  0.662  0.723  1.19
Fe  0.338  0.169  0.723  1.19
Fe  0.662  0.831  0.277  1.19
Fe  0.169  0.338  0.277  1.19
Fe  0.169  0.831  0.277  1.19
Fe  0.500  0.000  0.000  1.64
Fe  0.000  0.500  0.000  1.64
Fe  0.500  0.500  0.000  1.64
Re  0.000  0.000  0.500  -0.36
C  0.333  0.667  0.139  -0.10
C  0.667  0.333  0.861  -0.10

RbCl2F8 after structural relaxation, computed with PBE.

**D(E_F)**: 3.57 states/eV per cell
**ΔE_f (raw)**: -1.065 eV per atom
**Space group**: No. 12
**Electronic total energy**: -0.2095 Ry per atom

abc: 4.898 6.872 6.872
angles: 54.52 82.79 82.79
Site moments in Bohr magnetons follow the coordinates.
Positions (direct):
Rb  0.000  0.000  0.000  0.00
Cl  0.578  0.353  0.353  0.18
Cl  0.422  0.647  0.647  0.18
F  0.583  0.075  0.646  0.04
F  0.417  0.354  0.925  0.04
F  0.890  0.262  0.262  0.05
F  0.110  0.738  0.738  0.05
F  0.583  0.646  0.075  0.04
F  0.417  0.925  0.354  0.04
F  0.250  0.444  0.444  0.09
F  0.750  0.556  0.556  0.09

AcHoNi after structural relaxation, computed with PBE.

**D(E_F)**: 4.52 states/eV per cell
**Space group**: No. 12
**Electronic total energy**: -0.3641 Ry per atom
**Energy above the lowest structure with this stoichiometry**: 0 meV/atom

abc: 4.138 4.133 12.815
angles: 80.80 90.00 120.04
Positions (direct):
Ho  0.871  0.743  0.883
Ho  0.129  0.257  0.117
Ac  0.283  0.566  0.645
Ac  0.717  0.434  0.355
Ni  0.572  0.144  0.778
Ni  0.428  0.856  0.222

Rb2VSnW after structural relaxation, computed with PBE.

**D(E_F)**: 12.60 states/eV per cell
**Space group**: No. 123
**Electronic total energy**: -0.2694 Ry per atom

abc: 6.545 5.142 6.545
angles: 90.00 90.00 90.00
Site moments in Bohr magnetons follow the coordinates.
Positions (direct):
Rb  0.000  0.000  0.500  0.02
Rb  0.500  0.000  0.000  0.02
Sn  0.000  0.500  0.000  0.00
W  0.000  0.000  0.000  -0.11
V  0.500  0.500  0.500  3.34

Sr2Nb2Ru after structural relaxation, computed with PBE.

**D(E_F)**: 12.30 states/eV per cell
**Space group**: No. 127
**Electronic total energy**: -0.3766 Ry per atom
**Energy above the lowest structure with this stoichiometry**: 610 meV/atom

abc: 9.183 9.183 3.381
angles: 90.00 90.00 90.00
Site moments in Bohr magnetons follow the coordinates.
Positions (direct):
Ru  0.000  0.000  0.000  1.61
Ru  0.500  0.500  0.000  1.61
Nb  0.085  0.585  0.500  -0.04
Nb  0.585  0.915  0.500  -0.04
Nb  0.915  0.415  0.500  -0.04
Nb  0.415  0.085  0.500  -0.04
Sr  0.292  0.792  0.000  -0.03
Sr  0.792  0.708  0.000  -0.03
Sr  0.708  0.208  0.000  -0.03
Sr  0.208  0.292  0.000  -0.03

CaZrIr2 after structural relaxation, computed with PBE.

**D(E_F)**: 3.22 states/eV per cell
**Space group**: No. 8
**Electronic total energy**: -0.5460 Ry per atom

abc: 5.540 5.540 5.013
angles: 77.30 77.30 30.41
Positions (direct):
Ca  0.727  0.727  0.808
Ir  0.968  0.968  0.969
Ir  0.278  0.278  0.284
Zr  0.527  0.527  0.438

Sm2InSi2Rh5 after structural relaxation, computed with PBE.

**D(E_F)**: 6.97 states/eV per cell
**ΔE_f (raw)**: -0.900 eV per atom
**Space group**: No. 127
**Electronic total energy**: -0.5056 Ry per atom

abc: 3.525 9.938 9.938
angles: 90.00 90.00 90.00
Positions (direct):
Sm  0.000  0.676  0.176
Sm  0.000  0.324  0.824
Sm  0.000  0.176  0.324
Sm  0.000  0.824  0.676
In  0.000  0.000  0.000
In  0.000  0.500  0.500
Si  0.000  0.121  0.621
Si  0.000  0.879  0.379
Si  0.000  0.621  0.879
Si  0.000  0.379  0.121
Rh  0.500  0.220  0.069
Rh  0.500  0.780  0.931
Rh  0.500  0.069  0.780
Rh  0.500  0.720  0.431
Rh  0.500  0.931  0.220
Rh  0.500  0.280  0.569
Rh  0.500  0.569  0.720
Rh  0.500  0.431  0.280
Rh  0.500  0.500  0.000
Rh  0.500  0.000  0.500

InGe3As after structural relaxation, computed with PBE.

**D(E_F)**: 2.58 states/eV per cell
**Space group**: No. 221
**Electronic total energy**: -0.2393 Ry per atom
**Energy above the lowest structure with this stoichiometry**: 380 meV/atom

abc: 5.197 5.197 5.197
angles: 90.00 90.00 90.00
Positions (direct):
As  0.500  0.500  0.500
Ge  0.000  0.500  0.000
Ge  0.000  0.000  0.500
Ge  0.500  0.000  0.000
In  0.000  0.000  0.000